Density functional theory data (PBE) for NpPa2Tl after structural relaxation.

Computed properties:
E_tot (eV/cell): -99.51
Energy of formation (meV/atom): 282
Relative energy among the computed polymorphs (meV per atom): 0
Size of the total moment (μB/cell): 0.0
Theoretical density (g cm⁻³): 15.50

Unit cell a=3.6311 b=3.6311 c=25.4316 alpha=90.00 beta=90.00 gamma=120.00
With the nearest neighbours (Å) after each atom.
Space group R-3m (No. 166, hexagonal axes)
Asymmetric unit:
Np1 0.0000 0.0000 0.0000  6 Pa 2.67
Pa1 0.0000 0.0000 0.2685  3 Np 2.67
Tl1 0.0000 0.0000 0.5000  6 Pa 3.33, 6 Tl 3.63

=====

Density functional theory data (PBE) for Pr4RuPtBr2 after structural relaxation.

Computed properties:
E_tot (eV/cell): -46.07
Size of the total moment (μB/cell): 0.0
Formation energy from raw total energies (eV/f.u.): -8.29
Theoretical density (g cm⁻³): 7.08

Unit cell a=7.2541 b=4.1878 c=8.2301 alpha=90.00 beta=106.99 gamma=90.00
With the nearest neighbours (Å) after each atom.
Space group P2/m (No. 10)
Asymmetric unit:
Pr1 0.2234 0.0000 0.1990  2 Ru 2.85, 1 Pt 2.94
Pr2 0.2576 0.5000 0.8043  1 Ru 2.80, 2 Pt 2.90
Ru1 0.0000 0.5000 0.0000  6 Pr 2.80-2.85
Pt1 0.5000 0.0000 0.0000  6 Pr 2.90-2.94
Br1 0.0000 0.0000 0.5000  6 Pr 3.33-3.38
Br2 0.5000 0.5000 0.5000  6 Pr 3.41-3.46